Record 1
First-principles (GGA-PBE) data for a geometry-optimized CeNdHo2 structure, as listed in the Alexandria database.

Density = 8.0 Mg/m³
ΔE to the lowest computed polymorph = 142 meV/atom
Total moment = 0.112 μB/cell
Energy of formation from the pure elements = 175 meV/atom

abc: 12.4365 12.4365 12.4365
angles: 15.96 15.96 15.96
Last column: nearest neighbours and their distance in Å.
Sites, in units of the cell vectors:
Ce1 0.0000 0.0000 0.0000  6 Ho 3.40, 6 Ce 3.45
Nd1 0.5000 0.5000 0.5000  2 Ho 3.38, 6 Nd 3.45
Ho1 0.4082 0.4082 0.4082  1 Nd 3.38, 3 Ce 3.40, 6 Ho 3.45
Ho2 0.5918 0.5918 0.5918  1 Nd 3.38, 3 Ce 3.40, 6 Ho 3.45

Record 2
First-principles (GGA-PBE) data for a geometry-optimized CeNd6Ho structure, as listed in the Alexandria database.

Density = 7.1 Mg/m³
Total moment = 1.170 μB/cell
Energy of formation from the pure elements = 48 meV/atom

abc: 8.9250 8.1603 6.3014
angles: 74.99 62.02 43.00
Last column: nearest neighbours and their distance in Å.
Sites, in units of the cell vectors:
Ce1 0.0000 0.0000 0.0000  10 Nd 3.62, 2 Ho 3.65
Nd1 0.1216 0.1216 0.3784  8 Nd 3.55-3.75, 2 Ho 3.62, 2 Ce 3.62
Nd2 0.2480 0.2480 0.7520  1 Ce 3.62, 10 Nd 3.65-3.68, 1 Ho 3.68
Nd3 0.3784 0.3784 0.1216  8 Nd 3.55-3.75, 2 Ce 3.62, 2 Ho 3.62
Nd4 0.6216 0.6216 0.8784  8 Nd 3.55-3.75, 2 Ho 3.62, 2 Ce 3.62
Nd5 0.7520 0.7520 0.2480  1 Ce 3.62, 10 Nd 3.65-3.68, 1 Ho 3.68
Nd6 0.8784 0.8784 0.6216  8 Nd 3.55-3.75, 2 Ce 3.62, 2 Ho 3.62
Ho1 0.5000 0.5000 0.5000  10 Nd 3.62-3.68, 2 Ce 3.65

Record order is preserved below.
Electronic total energy: -4.789 -4.842 eV per atom